[1]
YHo2OsC2 after structural relaxation. Source: Alexandria via LeMat-Bulk, functional PBE.

Unit cell a=3.700 b=5.574 c=10.977 alpha=90.00 beta=90.00 gamma=90.00
Positions (direct):
1 C 0.500 0.769 0.379
2 C 0.000 0.731 0.879
3 C 0.500 0.231 0.621
4 C 0.000 0.269 0.121
5 Ho 0.000 0.544 0.294
6 Ho 0.000 0.456 0.706
7 Ho 0.500 0.044 0.206
8 Ho 0.500 0.956 0.794
9 Y 0.500 0.500 0.000
10 Y 0.000 0.000 0.500
11 Os 0.000 0.000 0.000
12 Os 0.500 0.500 0.500

Calculated values
The calculation puts the density at 9.28 g cm⁻³. The calculation puts the magnetization at 0.00 μB per formula unit. Its formation enthalpy at 0 K is -0.2411 eV/atom.

---

[2]
Ho5FeHg2 after structural relaxation. Source: Alexandria via LeMat-Bulk, functional PBE.

Unit cell a=4.038 b=8.624 c=12.076 alpha=90.00 beta=90.00 gamma=90.00
Positions (direct):
1 Ho 0.500 0.824 0.928
2 Ho 0.000 0.646 0.688
3 Ho 0.500 0.676 0.428
4 Ho 0.000 0.000 0.500
5 Ho 0.000 0.146 0.812
6 Ho 0.500 0.176 0.072
7 Ho 0.000 0.354 0.312
8 Ho 0.000 0.500 0.000
9 Ho 0.000 0.854 0.188
10 Ho 0.500 0.324 0.572
11 Hg 0.500 0.435 0.822
12 Hg 0.500 0.065 0.322
13 Hg 0.500 0.565 0.178
14 Hg 0.500 0.935 0.678
15 Fe 0.000 0.000 0.000
16 Fe 0.000 0.500 0.500

Calculated values
The calculation puts the density at 10.12 g cm⁻³. The calculation puts the magnetization at 0.00 μB per formula unit. Its formation enthalpy at 0 K is -0.2317 eV/atom.

---

[3]
Cu2AgCl after structural relaxation. Source: Alexandria via LeMat-Bulk, functional PBE.

Unit cell a=6.214 b=6.214 c=6.214 alpha=151.99 beta=139.94 gamma=49.60
Positions (direct):
1 Cu 0.833 0.333 0.500
2 Cu 0.016 0.016 0.000
3 Cl 0.190 0.690 0.500
4 Ag 0.461 0.461 0.000

Calculated values
The calculation puts the density at 6.22 g cm⁻³. The energy relative to the elements, uncorrected is 0.1558 eV/atom. The calculation puts the magnetization at 0.00 μB per formula unit.

---

[4]
Rb2AsPt after structural relaxation. Source: Alexandria via LeMat-Bulk, functional PBE.

Unit cell a=4.661 b=11.872 c=6.512 alpha=117.39 beta=110.97 gamma=90.00
Positions (direct):
1 Pt 0.204 0.250 0.000
2 Pt 0.796 0.750 0.000
3 As 0.703 0.250 0.000
4 As 0.297 0.750 0.000
5 Rb 0.208 0.587 0.347
6 Rb 0.139 0.087 0.347
7 Rb 0.792 0.413 0.653
8 Rb 0.861 0.913 0.653

Calculated values
The calculation puts the density at 5.00 g cm⁻³. The calculation puts the magnetization at 0.00 μB per formula unit. Its formation enthalpy at 0 K is -0.4167 eV/atom.

---

[5]
Cs4PrNp3S8 after structural relaxation. Source: Alexandria via LeMat-Bulk, functional PBE.

Unit cell a=8.392 b=9.415 c=8.418 alpha=116.61 beta=119.90 gamma=90.00
Each line ends with the local moment (μB).
Positions (direct):
1 S 0.722 0.684 0.953  0.00
2 S 0.727 0.679 0.455  -0.03
3 S 0.278 0.316 0.047  0.00
4 S 0.769 0.316 0.047  0.00
5 S 0.231 0.684 0.953  0.00
6 S 0.768 0.318 0.537  -0.06
7 S 0.232 0.682 0.463  -0.06
8 S 0.273 0.321 0.545  -0.03
9 Np 0.000 0.500 0.500  3.81
10 Np 0.500 0.500 0.500  3.81
11 Np 0.500 0.500 0.000  -3.77
12 Cs 0.000 0.000 0.500  0.00
13 Cs 0.500 0.000 0.500  0.00
14 Cs 0.500 0.000 0.000  0.00
15 Cs 0.000 0.000 0.000  0.01
16 Pr 0.000 0.500 0.000  0.02

Calculated values
The calculation puts the density at 5.52 g cm⁻³. The energy relative to the elements, uncorrected is -1.4381 eV/atom. The calculation puts the magnetization at 3.97 μB per formula unit.

---

[6]
InPbCl3 after structural relaxation. Source: Alexandria via LeMat-Bulk, functional PBE.

Unit cell a=7.303 b=7.303 c=10.690 alpha=90.00 beta=90.00 gamma=145.89
Positions (direct):
1 Cl 0.364 0.636 0.558
2 Cl 0.917 0.083 0.250
3 Cl 0.636 0.364 0.058
4 Cl 0.636 0.364 0.442
5 Cl 0.364 0.636 0.942
6 Cl 0.083 0.917 0.750
7 Pb 0.000 0.000 0.500
8 Pb 0.000 0.000 0.000
9 In 0.253 0.747 0.250
10 In 0.747 0.253 0.750

Calculated values
The calculation puts the density at 4.45 g cm⁻³. The energy relative to the elements, uncorrected is -1.0212 eV/atom. The calculation puts the magnetization at 0.00 μB per formula unit.

---

Which value of density does entry 1 give? 9.28 g cm⁻³

---

Look up the density of the fourth one. 5.00 g cm⁻³